{"formula": "TbSm2Ho2Tm", "functional": "GGA-PBE", "state": "relaxed", "cell": [[3.518, 0.000, 0.000], [0.000, 6.086, 0.000], [0.000, 0.000, 18.201]], "species": ["Tb", "Tb", "Sm", "Sm", "Sm", "Sm", "Ho", "Ho", "Ho", "Ho", "Tm", "Tm"], "frac_coords": [[0.500, 0.500, 0.000], [0.000, 0.000, 0.500], [0.500, 0.833, 0.155], [0.000, 0.333, 0.345], [0.500, 0.167, 0.845], [0.000, 0.667, 0.655], [0.500, 0.834, 0.344], [0.500, 0.166, 0.656], [0.000, 0.666, 0.844], [0.000, 0.334, 0.156], [0.000, 0.000, 0.000], [0.500, 0.500, 0.500]], "ef_mev_per_atom": 102, "m_tot_mub_per_cell": 0.00, "rho_g_cm3": 8.17}